## TeMoN2F (PBE with a Hubbard U)

Data for a relaxed TeMoN2F crystal.

Unit cell a=4.441 b=4.441 c=4.083 alpha=90.00 beta=90.00 gamma=90.00
Each line ends with the local moment (μB).
Sites, in units of the cell vectors:
N 0.000 0.500 0.000  -1.20
N 0.500 0.000 0.000  -1.20
Mo 0.500 0.500 0.500  3.54
Te 0.000 0.000 0.500  -0.19
F 0.000 0.000 0.000  -0.17

Space group: P4/mmm
Magnetic moment (μB per formula unit): 0.18
Fermi-level density of states (states/eV per cell): 3.010
Energy above the most stable polymorph in this dataset (meV/atom): 1495
E_tot (eV/cell): -19.81